Entry 1:
A plane-wave DFT calculation with PBE was carried out for a relaxed structure of Pr4ThSb5.

Output
N(E_F) ... 0.26 states/eV/atom
Uncorrected formation energy ... -1.148 eV/atom
Spin magnetization ... 0.00 Bohr magnetons per cell

a b c (Å): 4.5476 4.5476 32.1568
angles (deg): 90.00 90.00 90.00
Closest atoms and distances in Å follow each position.
Space group I4/mmm (No. 139)
Unique sites:
Pr  0.0000  0.0000  0.1014  6 Sb 3.17-3.26
Pr  0.0000  0.0000  0.2998  6 Sb 3.21-3.26
Th  0.0000  0.0000  0.5000  6 Sb 3.17-3.22
Sb  0.0000  0.0000  0.0000  4 Th 3.22, 2 Pr 3.26
Sb  0.0000  0.0000  0.2000  6 Pr 3.17-3.22
Sb  0.0000  0.0000  0.4013  1 Th 3.17, 5 Pr 3.22-3.26

Entry 2:
A plane-wave DFT calculation with PBE was carried out for a relaxed structure of LaSiTc2I.

Output
N(E_F) ... 1.45 states/eV/atom
Uncorrected formation energy ... 1.249 eV/atom
Spin magnetization ... 0.24 Bohr magnetons per cell

a b c (Å): 4.8507 4.8507 5.3111
angles (deg): 90.00 90.00 90.00
Closest atoms and distances in Å follow each position.
Space group P4/mmm (No. 123)
Unique sites:
La  0.0000  0.0000  0.0000  4 Si 3.43, 8 Tc 3.60
Si  0.5000  0.5000  0.0000  2 I 2.66
Tc  0.0000  0.5000  0.5000  2 I 2.43
I  0.5000  0.5000  0.5000  4 Tc 2.43, 2 Si 2.66

Entry 3:
A plane-wave DFT calculation with PBE was carried out for a relaxed structure of P2AuNCl.

Output
N(E_F) ... 1.39 states/eV/atom
Uncorrected formation energy ... 2.075 eV/atom
Spin magnetization ... 0.00 Bohr magnetons per cell

a b c (Å): 4.8320 4.8320 4.8208
angles (deg): 90.00 90.00 90.00
Closest atoms and distances in Å follow each position.
Space group P4/mmm (No. 123)
Unique sites:
P  0.0000  0.5000  0.0000  2 Au 2.42
Au  0.0000  0.0000  0.0000  2 Cl 2.41, 4 P 2.42
N  0.5000  0.5000  0.5000  8 P 3.41, 4 Cl 3.42
Cl  0.0000  0.0000  0.5000  2 Au 2.41

Entry 4:
A plane-wave DFT calculation with PBE was carried out for a relaxed structure of Mg2P3PdPt12.

Output
N(E_F) ... 0.51 states/eV/atom
E_tot ... -102.12 eV per formula unit
Spin magnetization ... 0.00 Bohr magnetons per cell

a b c (Å): 8.7118 8.7118 13.4933
angles (deg): 90.00 90.00 120.00
Closest atoms and distances in Å follow each position.
Space group R-3m (No. 166, hexagonal axes)
Unique sites:
Mg  0.0000  0.0000  0.1017  3 Pt 2.49, 1 Mg 2.75
P  0.0000  0.5000  0.0000  6 Pt 2.26-2.47
Pd  0.0000  0.0000  0.5000  6 Pt 2.70
Pt  0.0241  0.5121  0.8328  1 P 2.26, 1 Mg 2.49
Pt  0.0273  0.5136  0.3713  2 P 2.47

Entry 5:
A plane-wave DFT calculation with PBE was carried out for a relaxed structure of Nd4Hg3Os.

Output
N(E_F) ... 0.80 states/eV/atom
E_tot ... -33.43 eV per formula unit
Spin magnetization ... 0.00 Bohr magnetons per cell

a b c (Å): 7.4884 7.4884 7.4884
angles (deg): 90.00 90.00 90.00
Closest atoms and distances in Å follow each position.
Space group Im-3m (No. 229)
Unique sites:
Nd  0.2500  0.2500  0.2500  6 Hg 3.24, 2 Os 3.24
Hg  0.0000  0.0000  0.5000  8 Nd 3.24
Os  0.0000  0.0000  0.0000  8 Nd 3.24

Entry 6:
A plane-wave DFT calculation with PBE was carried out for a relaxed structure of Li8Ti15O32.

Output
N(E_F) ... 0.28 states/eV/atom
Uncorrected formation energy ... -2.841 eV/atom
Spin magnetization ... 0.00 Bohr magnetons per cell

a b c (Å): 5.9737 5.9737 58.5864
angles (deg): 90.00 90.00 120.00
Closest atoms and distances in Å follow each position.
Space group R3m (No. 160, hexagonal axes)
Unique sites:
Li  0.0000  0.0000  0.0000  4 O 2.02-2.04
Li  0.0000  0.0000  0.0613  4 O 1.99-2.05
Li  0.0000  0.0000  0.2489  4 O 2.00-2.03
Li  0.0000  0.0000  0.3120  4 O 2.00-2.01
Li  0.0000  0.0000  0.4058  6 O 2.13
Li  0.0000  0.0000  0.5001  4 O 2.00-2.03
Li  0.0000  0.0000  0.7502  4 O 2.00-2.05
Li  0.0000  0.0000  0.8111  4 O 2.02-2.03
Ti  0.0000  0.0000  0.1554  6 O 1.98-2.01
Ti  0.0000  0.0000  0.6563  6 O 1.97-2.02
Ti  0.0000  0.0000  0.9050  6 O 1.97-2.04
Ti  0.0012  0.5006  0.2806  6 O 1.97-2.02
Ti  0.0023  0.5012  0.5308  6 O 1.97-2.03
Ti  0.0069  0.5035  0.0317  6 O 1.92-2.06
Ti  0.1701  0.3402  0.1132  6 O 1.92-2.06
O  0.0000  0.0000  0.0963  3 Ti 2.02, 1 Li 2.05
O  0.0000  0.0000  0.2147  1 Li 2.00, 3 Ti 2.01
O  0.0000  0.0000  0.3462  1 Li 2.00, 3 Ti 2.02
O  0.0000  0.0000  0.4654  3 Ti 2.02, 1 Li 2.03
O  0.0000  0.0000  0.5975  3 Ti 1.97
O  0.0000  0.0000  0.7152  3 Ti 2.02, 1 Li 2.05
O  0.0000  0.0000  0.8458  3 Ti 2.02, 1 Li 2.03
O  0.0000  0.0000  0.9652  3 Ti 2.02, 1 Li 2.04
O  0.0239  0.5119  0.0964  2 Ti 1.92, 2 Li 2.00-2.13
O  0.0344  0.5172  0.5944  3 Ti 2.00-2.04, 1 Li 2.03
O  0.0350  0.5175  0.8440  1 Li 2.00, 3 Ti 2.01-2.03
O  0.0376  0.5188  0.3441  3 Ti 1.97-2.06, 1 Li 2.02
O  0.1786  0.3572  0.0485  2 Ti 1.92, 2 Li 1.99-2.13
O  0.1834  0.3667  0.3007  1 Li 2.01, 3 Ti 2.02
O  0.1856  0.3711  0.8007  3 Ti 1.98-2.06, 1 Li 2.02
O  0.1873  0.3745  0.5500  3 Ti 1.97

Entry 7:
A plane-wave DFT calculation with PBE was carried out for a relaxed structure of RbCa2ErCl8.

Output
N(E_F) ... 0.00 states/eV/atom
Uncorrected formation energy ... -2.259 eV/atom
Spin magnetization ... 0.00 Bohr magnetons per cell

a b c (Å): 6.4182 8.7764 6.6312
angles (deg): 90.00 90.80 90.00
Closest atoms and distances in Å follow each position.
Space group P2/m (No. 10)
Unique sites:
Rb  0.0000  0.0000  0.0000  6 Cl 3.10-3.18
Ca  0.5000  0.2482  0.5000  6 Cl 2.73-2.95
Er  0.0000  0.5000  0.0000  6 Cl 2.61-2.72
Cl  0.2328  0.2927  0.1739  1 Er 2.61, 1 Ca 2.77
Cl  0.2652  0.5000  0.6843  1 Er 2.72, 2 Ca 2.95
Cl  0.2810  0.0000  0.6239  2 Ca 2.73

Entry 8:
A plane-wave DFT calculation with PBE was carried out for a relaxed structure of CrCoSnW2.

Output
N(E_F) ... 2.01 states/eV/atom
E_tot ... -38.08 eV per formula unit
Spin magnetization ... 0.00 Bohr magnetons per cell

a b c (Å): 4.4756 4.4756 4.7532
angles (deg): 90.00 90.00 90.00
Closest atoms and distances in Å follow each position.
Space group P4/mmm (No. 123)
Unique sites:
Cr  0.0000  0.0000  0.0000  4 W 2.24, 2 Sn 2.38
Co  0.5000  0.5000  0.5000  4 Sn 3.16, 8 W 3.26
Sn  0.0000  0.0000  0.5000  2 Cr 2.38
W  0.0000  0.5000  0.0000  2 Cr 2.24

Entry 9:
A plane-wave DFT calculation with PBE was carried out for a relaxed structure of Rb2TlAu2.

Output
N(E_F) ... 0.35 states/eV/atom
E_tot ... -11.87 eV per formula unit
Spin magnetization ... 0.00 Bohr magnetons per cell

a b c (Å): 8.1288 8.1288 5.1957
angles (deg): 90.00 90.00 90.00
Closest atoms and distances in Å follow each position.
Space group P4/mbm (No. 127)
Unique sites:
Rb  0.1706  0.3294  0.0000  6 Au 3.48-3.57
Tl  0.0000  0.0000  0.5000  4 Au 3.20
Au  0.1277  0.6277  0.5000  1 Au 2.94, 2 Tl 3.20

Entry 10:
A plane-wave DFT calculation with PBE was carried out for a relaxed structure of KBSe2N.

Output
N(E_F) ... 0.47 states/eV/atom
Uncorrected formation energy ... -0.241 eV/atom
Spin magnetization ... 0.00 Bohr magnetons per cell

a b c (Å): 6.5023 6.5023 2.6468
angles (deg): 90.00 90.00 90.00
Closest atoms and distances in Å follow each position.
Space group P4/mmm (No. 123)
Unique sites:
K  0.0000  0.0000  0.0000  2 K 2.65
B  0.5000  0.5000  0.5000  2 N 1.32
Se  0.0000  0.5000  0.5000  2 Se 2.65
N  0.5000  0.5000  0.0000  2 B 1.32

Entry 11:
A plane-wave DFT calculation with PBE was carried out for a relaxed structure of BeAs3I.

Output
N(E_F) ... 0.94 states/eV/atom
Uncorrected formation energy ... 0.620 eV/atom
Spin magnetization ... 0.00 Bohr magnetons per cell

a b c (Å): 4.6783 4.6783 4.6783
angles (deg): 90.00 90.00 90.00
Closest atoms and distances in Å follow each position.
Space group Pm-3m (No. 221)
Unique sites:
Be  0.0000  0.0000  0.0000  6 As 2.34
As  0.0000  0.0000  0.5000  2 Be 2.34
I  0.5000  0.5000  0.5000  12 As 3.31

Entry 12:
A plane-wave DFT calculation with PBE was carried out for a relaxed structure of Hf2Au2F.

Output
N(E_F) ... 0.53 states/eV/atom
Uncorrected formation energy ... -1.005 eV/atom
Spin magnetization ... 0.00 Bohr magnetons per cell

a b c (Å): 6.2913 6.2913 4.6060
angles (deg): 90.00 90.00 90.00
Closest atoms and distances in Å follow each position.
Space group P4/mbm (No. 127)
Unique sites:
Hf  0.1667  0.3333  0.0000  2 F 2.34
Au  0.1556  0.6556  0.5000  1 Au 2.77, 6 Hf 2.79-3.07
F  0.0000  0.0000  0.0000  4 Hf 2.34